Here is a geometry-optimized Be5Tl4 structure from the Alexandria database. Energies are from PBE-GGA.

extended XYZ file:
```
18
Lattice="-1.547 -1.138 -7.295 -4.267 -3.241 5.311 -4.045 5.360 0.021" Properties=species:S:1:pos:R:3 pbc="T T T"
Be -3.964 -0.903 3.681
Be -2.801 -0.008 -0.606
Be -2.082 0.552 -5.044
Be -4.348 3.022 1.651
Be -7.057 0.990 -1.357
Be -3.510 3.670 -2.231
Be -2.453 -1.839 -3.093
Be -5.383 0.140 1.119
Be -3.360 -2.540 1.109
Be -4.476 0.841 -3.083
Tl 0.000 0.000 0.000
Tl -2.022 2.680 0.011
Tl -2.603 0.131 1.987
Tl -4.656 -1.405 -1.239
Tl -1.588 0.915 -2.717
Tl -5.708 1.989 3.345
Tl -5.203 2.386 -0.725
Tl -4.003 3.307 -4.557
```

Results
Energy above the lowest structure with this stoichiometry (eV per atom): 0.304
Size of the total moment (μB per formula unit): 0.000
Energy relative to the elements (eV per atom): 0.886